[1]
Compound: HfAl2BMo
Source: Alexandria via LeMat-Bulk
Functional: PBE
Structure: optimized geometry

Unit cell a=4.2013 b=4.2013 c=4.3290 alpha=90.00 beta=90.00 gamma=90.00
Sites, in units of the cell vectors:
Mo 0.0000 0.0000 0.5000
Al 0.5000 0.0000 0.0000
B 0.0000 0.0000 0.0000
Hf 0.5000 0.5000 0.5000
Al 0.0000 0.5000 0.0000

Calculated values
E above lowest polymorph (eV/atom): 0.000

---

[2]
Compound: HfAlBPt2
Source: Alexandria via LeMat-Bulk
Functional: PBE
Structure: optimized geometry

Unit cell a=4.9785 b=4.4417 c=4.9785 alpha=90.00 beta=90.00 gamma=90.00
Sites, in units of the cell vectors:
B 0.0000 0.5000 0.0000
Pt 0.5000 0.0000 0.0000
Pt 0.0000 0.0000 0.5000
Hf 0.0000 0.0000 0.0000
Al 0.5000 0.5000 0.5000

Calculated values
Electronic total energy (Ry per atom): -0.4022

---

[3]
Compound: HfAlBS2
Source: Alexandria via LeMat-Bulk
Functional: PBE
Structure: optimized geometry

Unit cell a=4.9466 b=4.6122 c=4.9466 alpha=90.00 beta=90.00 gamma=90.00
Sites, in units of the cell vectors:
S 0.5000 0.0000 0.0000
S 0.0000 0.0000 0.5000
Hf 0.0000 0.0000 0.0000
Al 0.5000 0.5000 0.5000
B 0.0000 0.5000 0.0000

Calculated values
Formation energy without anion corrections (meV per atom): 234.9

---

[4]
Compound: HfSc2AlB
Source: Alexandria via LeMat-Bulk
Functional: PBE
Structure: optimized geometry

Unit cell a=4.7128 b=4.2009 c=4.7128 alpha=90.00 beta=90.00 gamma=90.00
Last column: magnetic moment on the atom in μB.
Sites, in units of the cell vectors:
Sc 0.5000 0.0000 0.0000  0.25
Al 0.0000 0.5000 0.0000  -0.01
Sc 0.0000 0.0000 0.5000  0.24
Hf 0.5000 0.5000 0.5000  0.61
B 0.0000 0.0000 0.0000  0.01

Calculated values
Electronic total energy (Ry per atom): -0.4833

---

[5]
Compound: Hf2AlBSe
Source: Alexandria via LeMat-Bulk
Functional: PBE
Structure: optimized geometry

Unit cell a=4.6333 b=4.3351 c=4.6333 alpha=90.00 beta=90.00 gamma=90.00
Sites, in units of the cell vectors:
Se 0.0000 0.5000 0.0000
Hf 0.0000 0.0000 0.5000
Hf 0.5000 0.0000 0.0000
B 0.0000 0.0000 0.0000
Al 0.5000 0.5000 0.5000

Calculated values
Formation energy without anion corrections (meV per atom): 182.5

---

[6]
Compound: HfAlSiB2
Source: Alexandria via LeMat-Bulk
Functional: PBE
Structure: optimized geometry

Unit cell a=4.3976 b=5.2664 c=4.3976 alpha=90.00 beta=90.00 gamma=90.00
Sites, in units of the cell vectors:
B 0.0000 0.0000 0.5000
B 0.5000 0.0000 0.0000
Hf 0.0000 0.0000 0.0000
Si 0.5000 0.5000 0.5000
Al 0.0000 0.5000 0.0000

Calculated values
Formation energy without anion corrections (meV per atom): 1661.6

---

[7]
Compound: Hf2AlSiB
Source: Alexandria via LeMat-Bulk
Functional: PBE
Structure: optimized geometry

Unit cell a=4.8575 b=4.3569 c=4.8575 alpha=90.00 beta=90.00 gamma=90.00
Sites, in units of the cell vectors:
Hf 0.0000 0.0000 0.5000
Si 0.0000 0.0000 0.0000
B 0.5000 0.5000 0.5000
Hf 0.5000 0.0000 0.0000
Al 0.0000 0.5000 0.0000

Calculated values
Formation energy without anion corrections (meV per atom): 1075.6

---

[8]
Compound: HfAlTlB2
Source: Alexandria via LeMat-Bulk
Functional: PBE
Structure: optimized geometry

Unit cell a=4.3234 b=5.6843 c=4.3234 alpha=90.00 beta=90.00 gamma=90.00
Sites, in units of the cell vectors:
B 0.5000 0.0000 0.0000
Tl 0.0000 0.0000 0.0000
Al 0.5000 0.5000 0.5000
B 0.0000 0.0000 0.5000
Hf 0.0000 0.5000 0.0000

Calculated values
Electronic total energy (Ry per atom): -0.2889

---

[9]
Compound: AlHg2B
Source: Alexandria via LeMat-Bulk
Functional: PBE
Structure: optimized geometry

Unit cell a=4.8669 b=4.8669 c=7.9473 alpha=72.17 beta=72.17 gamma=90.00
Sites, in units of the cell vectors:
Hg 0.5470 0.1250 0.2500
Hg 0.2030 0.6250 0.2500
Hg 0.8750 0.7970 0.7500
Al 0.0000 0.0000 0.0000
Hg 0.3750 0.4530 0.7500
B 0.5000 0.5000 0.0000
B 0.2500 0.7500 0.5000
Al 0.7500 0.2500 0.5000

Calculated values
E above lowest polymorph (eV/atom): 0.000

---

[10]
Compound: AlHgB
Source: Alexandria via LeMat-Bulk
Functional: PBE
Structure: optimized geometry

Unit cell a=3.7524 b=3.7524 c=8.1923 alpha=90.00 beta=90.00 gamma=120.00
Sites, in units of the cell vectors:
B 0.3333 0.6667 0.2500
Al 0.6667 0.3333 0.2500
Al 0.3333 0.6667 0.7500
B 0.6667 0.3333 0.7500
Hg 0.0000 0.0000 0.0000
Hg 0.0000 0.0000 0.5000

Calculated values
Electronic total energy (Ry per atom): -0.2154

---

[11]
Compound: AlHgB
Source: Alexandria via LeMat-Bulk
Functional: PBE
Structure: optimized geometry

Unit cell a=5.9056 b=3.0639 c=6.2733 alpha=103.98 beta=88.95 gamma=74.43
Sites, in units of the cell vectors:
Al 0.9429 0.3505 0.9119
B 0.0211 0.4838 0.2620
B 0.0579 0.9073 0.1459
Al 0.1360 0.0406 0.4960
Hg 0.6184 0.7805 0.4550
Hg 0.4605 0.6107 0.9529

Calculated values
Electronic total energy (Ry per atom): -0.2477

---

[12]
Compound: AlHgB
Source: Alexandria via LeMat-Bulk
Functional: PBE
Structure: optimized geometry

Unit cell a=4.0902 b=4.0902 c=6.0807 alpha=90.00 beta=90.00 gamma=90.00
Sites, in units of the cell vectors:
Hg 0.5000 0.0000 0.1101
Hg 0.0000 0.5000 0.8899
Al 0.5000 0.0000 0.6531
Al 0.0000 0.5000 0.3469
B 0.0000 0.0000 0.5000
B 0.5000 0.5000 0.5000

Calculated values
Electronic total energy (Ry per atom): -0.2110